LiZn2Cd2Pd5, optimized geometry, DFT PBE-GGA; Fermi-level density of states = 4.174 states/eV per cell; formation energy = -3.40 eV/f.u.; electronic total energy = -71.32 eV/cell; space group = P4/mbm (127)
1.0
-0.0579 -0.1307 3.5952
9.0870 -2.9057 0.0407
2.9020 9.0805 0.3767
Li Pd Cd Zn
2 10 4 4
Direct
0.0000 0.5000 0.5000
0.0000 0.0000 0.0000
0.5000 0.9279 0.1938
0.5000 0.0000 0.5000
0.5000 0.8062 0.9279
0.5000 0.3062 0.5721
0.5000 0.0721 0.8062
0.5000 0.5721 0.6938
0.5000 0.6938 0.4279
0.5000 0.5000 0.0000
0.5000 0.4279 0.3062
0.5000 0.1938 0.0721
0.0000 0.6709 0.1709
0.0000 0.3291 0.8291
0.0000 0.1709 0.3291
0.0000 0.8291 0.6709
0.0000 0.8695 0.3695
0.0000 0.6305 0.8695
0.0000 0.3695 0.1305
0.0000 0.1305 0.6305

Li2Zn2CdPd2, optimized geometry, DFT PBE-GGA; Fermi-level density of states = 2.774 states/eV per cell; formation energy = -2.69 eV/f.u.; electronic total energy = -20.36 eV/cell; space group = C2/m (12)
1.0
4.4452 0.0000 0.0000
-2.2226 3.8338 -0.3862
0.0000 -1.8945 6.5676
Li Zn Pd Cd
2 2 2 1
Direct
0.8578 0.7156 0.5723
0.1422 0.2844 0.4277
0.4261 0.8522 0.2790
0.5739 0.1478 0.7210
0.2798 0.5595 0.8377
0.7202 0.4405 0.1623
0.0000 0.0000 0.0000

LiZrCdPd, optimized geometry, DFT PBE-GGA; Fermi-level density of states = 5.463 states/eV per cell; formation energy = -1.35 eV/f.u.; electronic total energy = -17.92 eV/cell; space group = F-43m (216)
1.0
4.6437 0.0000 0.0000
2.3218 4.0215 0.0000
2.3218 1.3405 3.7915
Pd Zr Cd Li
1 1 1 1
Direct
0.2500 0.2500 0.2500
0.5000 0.5000 0.5000
0.0000 0.0000 0.0000
0.7500 0.7500 0.7500

Li3Pm2Cd4, optimized geometry, DFT PBE-GGA; Fermi-level density of states = 6.077 states/eV per cell; formation energy = -2.17 eV/f.u.; electronic total energy = -21.07 eV/cell; space group = C2/m (12)
1.0
4.9125 0.0005 0.0008
2.4555 5.0506 0.7957
-0.0015 1.2068 8.4773
Li Cd Pm
3 4 2
Direct
0.0000 0.0000 0.0000
0.3725 0.2549 0.4701
0.6275 0.7451 0.5299
0.5714 0.8572 0.8413
0.9183 0.1633 0.6348
0.4286 0.1428 0.1587
0.0817 0.8367 0.3652
0.7474 0.5052 0.2187
0.2526 0.4948 0.7813

LiPm2Cd4, optimized geometry, DFT PBE-GGA; Fermi-level density of states = 4.997 states/eV per cell; formation energy = -0.81 eV/f.u.; electronic total energy = -15.89 eV/cell; space group = R-3m (166)
1.0
-2.7692 -1.6502 -3.7590
-0.5129 -4.8684 -0.7467
-8.3271 -2.2321 3.8523
Pm Cd Li
2 4 1
Direct
0.7493 0.7493 0.7521
0.2507 0.2507 0.2479
0.3663 0.3663 0.9012
0.1331 0.1331 0.6006
0.8669 0.8669 0.3994
0.6337 0.6337 0.0988
0.0000 0.0000 0.0000

LiPmCd5, optimized geometry, DFT PBE-GGA; Fermi-level density of states = 3.966 states/eV per cell; formation energy = -0.77 eV/f.u.; electronic total energy = -12.01 eV/cell; space group = Cmmm (65)
1.0
-5.0938 -0.6145 1.4828
3.3852 -2.2813 3.4437
0.3240 5.7697 3.5034
Cd Li Pm
5 1 1
Direct
0.0000 0.5000 0.2629
0.0000 0.5000 0.7371
0.5000 0.0000 0.7371
0.5000 0.0000 0.2629
0.0000 0.0000 0.5000
0.5000 0.5000 0.5000
0.0000 0.0000 0.0000

Li5PmCd7, optimized geometry, DFT PBE-GGA; Fermi-level density of states = 6.775 states/eV per cell; formation energy = -2.98 eV/f.u.; electronic total energy = -23.71 eV/cell; space group = Imm2 (44)
1.0
-2.4953 2.2548 4.0572
-1.1665 -5.0259 5.4981
4.9742 2.8291 4.9095
Li Cd Pm
5 7 1
Direct
0.7225 0.7775 0.7775
0.0015 0.4999 0.0003
0.4984 0.4999 0.0003
0.4984 0.0003 0.4999
0.0015 0.0003 0.4999
0.2863 0.2137 0.2137
0.5060 0.7890 0.1991
0.3419 0.6581 0.6581
0.9959 0.3541 0.6541
0.5060 0.1991 0.7890
0.6484 0.3516 0.3516
0.9959 0.6541 0.3541
0.9976 0.0024 0.0024

Li4PmCd, optimized geometry, DFT PBE-GGA; Fermi-level density of states = 3.637 states/eV per cell; formation energy = -0.44 eV/f.u.; electronic total energy = -13.76 eV/cell; space group = F-43m (216)
1.0
-1.2411 -3.9233 3.7622
3.7796 -3.8744 1.3379
2.4234 0.0860 5.0206
Li Pm Cd
4 1 1
Direct
0.1189 0.6270 0.6270
0.6270 0.6270 0.6270
0.6270 0.6270 0.1189
0.6270 0.1189 0.6270
0.2500 0.2500 0.2500
0.0000 0.0000 0.0000

Li3Pm2Cd4, optimized geometry, DFT PBE-GGA; Fermi-level density of states = 13.167 states/eV per cell; formation energy = -1.99 eV/f.u.; electronic total energy = -41.78 eV/cell; space group = Cmce (64)
1.0
-4.0840 -2.2885 3.9362
5.4983 1.0430 6.3112
-0.8578 8.5573 -0.6668
Pm Li Cd
4 6 8
Direct
0.6139 0.9144 0.2277
0.8861 0.4144 0.7723
0.1139 0.5856 0.2277
0.3861 0.0856 0.7723
0.5000 0.5000 0.0000
0.0276 0.7500 0.5553
0.9724 0.2500 0.4447
0.4724 0.2500 0.4447
0.0000 0.0000 0.0000
0.5276 0.7500 0.5553
0.1807 0.9728 0.3613
0.3022 0.2500 0.1044
0.6807 0.5272 0.3613
0.8193 0.0272 0.6387
0.3193 0.4728 0.6387
0.8022 0.2500 0.1044
0.6978 0.7500 0.8956
0.1978 0.7500 0.8956

LiPm4Cd3, optimized geometry, DFT PBE-GGA; Fermi-level density of states = 9.463 states/eV per cell; formation energy = -1.84 eV/f.u.; electronic total energy = -25.50 eV/cell; space group = R-3m (166)
1.0
5.1814 0.0000 1.5295
2.3650 4.6102 1.5295
0.0531 0.0325 9.3613
Pm Cd Li
4 3 1
Direct
0.8753 0.8753 0.3742
0.3751 0.3751 0.8747
0.1247 0.1247 0.6258
0.6249 0.6249 0.1253
0.2520 0.2520 0.2439
0.5000 0.5000 0.5000
0.7480 0.7480 0.7561
0.0000 0.0000 0.0000

Li4PmCd5, optimized geometry, DFT PBE-GGA; Fermi-level density of states = 5.448 states/eV per cell; formation energy = -2.58 eV/f.u.; electronic total energy = -19.56 eV/cell; space group = P4/mmm (123)
1.0
3.4521 0.0000 0.0000
0.0000 3.4521 0.0000
0.0000 0.0000 17.0914
Li Cd Pm
4 5 1
Direct
0.0000 0.0000 0.2228
0.0000 0.0000 0.5914
0.0000 0.0000 0.4086
0.0000 0.0000 0.7772
0.5000 0.5000 0.6834
0.5000 0.5000 0.3166
0.5000 0.5000 0.1317
0.5000 0.5000 0.8683
0.5000 0.5000 0.5000
0.0000 0.0000 0.0000

LiPmCd11, optimized geometry, DFT PBE-GGA; Fermi-level density of states = 5.416 states/eV per cell; formation energy = -2.05 eV/f.u.; electronic total energy = -18.79 eV/cell; space group = C2/m (12)
1.0
1.6566 5.1254 2.3433
1.9513 -0.6857 7.3185
7.4501 1.2844 -0.7136
Cd Pm Li
11 1 1
Direct
0.5082 0.2182 0.7905
0.0145 0.6456 0.3436
0.2986 0.2182 0.2095
0.6419 0.3544 0.3436
0.9855 0.3544 0.6564
0.0000 0.0000 0.5000
0.4918 0.7818 0.2095
0.0000 0.5000 0.0000
0.5000 0.0000 0.5000
0.3581 0.6456 0.6564
0.7014 0.7818 0.7905
0.0000 0.0000 0.0000
0.5000 0.5000 0.0000

Li3Pm2Cd3, optimized geometry, DFT PBE-GGA; Fermi-level density of states = 12.049 states/eV per cell; formation energy = -0.83 eV/f.u.; electronic total energy = -37.64 eV/cell; space group = P6_3/mcm (193)
1.0
6.4265 0.0000 0.0000
0.0000 7.6476 4.4148
0.0000 0.0005 8.8304
Li Cd Pm
6 6 4
Direct
0.2500 0.0000 0.7211
0.2500 0.2789 0.0000
0.7500 0.2789 0.7211
0.7500 0.0000 0.2789
0.2500 0.7211 0.2789
0.7500 0.7211 0.0000
0.7500 0.3612 0.0000
0.7500 0.6388 0.3612
0.2500 0.6388 0.0000
0.7500 0.0000 0.6388
0.2500 0.3612 0.6388
0.2500 0.0000 0.3612
0.0000 0.6667 0.6667
0.5000 0.3333 0.3333
0.5000 0.6667 0.6667
0.0000 0.3333 0.3333

LiPm2Cd2, optimized geometry, DFT PBE-GGA; Fermi-level density of states = 7.121 states/eV per cell; formation energy = -0.55 eV/f.u.; electronic total energy = -27.60 eV/cell; space group = Ibam (72)
1.0
-3.5247 -0.4007 4.6334
-2.6322 -6.1448 -2.5338
7.6808 -0.0248 2.1661
Cd Pm Li
4 4 2
Direct
0.0704 0.8735 0.1409
0.5704 0.2674 0.1409
0.9296 0.1265 0.8591
0.4296 0.7326 0.8591
0.8161 0.6144 0.6323
0.6839 0.9822 0.3677
0.3161 0.0178 0.6323
0.1839 0.3856 0.3677
0.7500 0.5000 0.0000
0.2500 0.5000 0.0000

Li12PmCd6, optimized geometry, DFT PBE-GGA; Fermi-level density of states = 10.807 states/eV per cell; formation energy = -1.38 eV/f.u.; electronic total energy = -34.59 eV/cell; space group = R-3m (166)
1.0
-4.2175 6.0579 -1.6268
-5.2877 -4.9723 2.1088
2.9321 1.9778 6.6800
Cd Li Pm
6 12 1
Direct
0.2417 0.7349 0.2417
0.2417 0.2417 0.7349
0.7583 0.7583 0.2651
0.7349 0.2417 0.2417
0.7583 0.2651 0.7583
0.2651 0.7583 0.7583
0.4317 0.4317 0.1592
0.1066 0.8934 0.5000
0.8934 0.1066 0.5000
0.1066 0.5000 0.8934
0.8934 0.5000 0.1066
0.4317 0.1592 0.4317
0.5683 0.5683 0.8408
0.1592 0.4317 0.4317
0.5683 0.8408 0.5683
0.5000 0.1066 0.8934
0.8408 0.5683 0.5683
0.5000 0.8934 0.1066
0.0000 0.0000 0.0000

Li4Pm3Cd4, optimized geometry, DFT PBE-GGA; Fermi-level density of states = 9.946 states/eV per cell; formation energy = -2.14 eV/f.u.; electronic total energy = -27.70 eV/cell; space group = C2/m (12)
1.0
-0.2324 -0.0032 -3.3073
-4.4313 -2.2883 0.3112
-9.5342 12.9098 -1.0144
Li Pm Cd
4 3 4
Direct
0.7389 0.7392 0.5212
0.2610 0.2607 0.4789
0.5935 0.0933 0.8142
0.4065 0.9068 0.1858
0.8584 0.3576 0.2833
0.0001 0.0001 0.0000
0.1417 0.6424 0.7167
0.6855 0.1861 0.6290
0.5498 0.5496 0.9012
0.4503 0.4505 0.0988
0.3145 0.8138 0.3710

Li5PmCd6, optimized geometry, DFT PBE-GGA; Fermi-level density of states = 4.977 states/eV per cell; formation energy = -2.81 eV/f.u.; electronic total energy = -22.62 eV/cell; space group = P2/m (10)
1.0
4.8737 0.0047 0.0162
2.4450 7.2422 0.0081
-0.0233 0.0000 7.0621
Pm Cd Li
1 6 5
Direct
0.0000 0.0000 0.0000
0.8263 0.3500 0.2729
0.5000 0.0000 0.7218
0.5000 0.0000 0.2782
0.1737 0.6500 0.7271
0.1737 0.6500 0.2729
0.8263 0.3500 0.7271
0.3308 0.3422 0.0000
0.6576 0.6826 0.5000
0.6692 0.6578 0.0000
0.0000 0.0000 0.5000
0.3424 0.3174 0.5000

LiPm6Cd5, optimized geometry, DFT PBE-GGA; Fermi-level density of states = 15.134 states/eV per cell; formation energy = -3.14 eV/f.u.; electronic total energy = -38.13 eV/cell; space group = Immm (71)
1.0
5.2058 -0.0030 -1.4583
-3.8948 7.5623 -3.9076
-0.2013 -1.0855 9.2956
Li Cd Pm
1 5 6
Direct
0.0000 0.0000 0.0000
0.5000 0.8369 0.1631
0.0000 0.6664 0.3336
0.5000 0.1631 0.8369
0.5000 0.5000 0.5000
0.0000 0.3336 0.6664
0.7502 0.5830 0.9170
0.7502 0.9170 0.5830
0.7506 0.2508 0.2508
0.2498 0.0830 0.4170
0.2498 0.4170 0.0830
0.2494 0.7492 0.7492

Li9PmCd2, optimized geometry, DFT PBE-GGA; Fermi-level density of states = 6.312 states/eV per cell; formation energy = -0.15 eV/f.u.; electronic total energy = -23.95 eV/cell; space group = R-3m (166)
1.0
-4.6631 -3.1805 0.3853
-1.4955 -3.3601 -4.2990
2.6059 -8.5992 2.0918
Li Cd Pm
9 2 1
Direct
0.4013 0.9263 0.2711
0.5987 0.0737 0.7289
0.3377 0.3377 0.9868
0.5987 0.5987 0.7289
0.0737 0.5987 0.7289
0.5000 0.5000 0.5000
0.9263 0.4013 0.2711
0.6623 0.6623 0.0132
0.4013 0.4013 0.2711
0.1349 0.1349 0.5954
0.8651 0.8651 0.4046
0.0000 0.0000 0.0000

LiPm6Cd, optimized geometry, DFT PBE-GGA; Fermi-level density of states = 9.462 states/eV per cell; formation energy = -0.44 eV/f.u.; electronic total energy = -31.77 eV/cell; space group = I4/mmm (139)
1.0
4.9850 0.0002 1.5010
-0.4524 4.9643 1.5016
-0.2528 -0.2780 9.8681
Pm Li Cd
6 1 1
Direct
0.8878 0.3879 0.2243
0.6121 0.1121 0.7757
0.7509 0.7508 0.4983
0.1122 0.6121 0.7757
0.2491 0.2492 0.5017
0.3879 0.8879 0.2243
0.0000 0.0000 0.0000
0.5000 0.5000 0.0000

LiPm2Cd3, optimized geometry, DFT PBE-GGA; Fermi-level density of states = 8.707 states/eV per cell; formation energy = -1.66 eV/f.u.; electronic total energy = -31.64 eV/cell; space group = Fmmm (69)
1.0
5.8479 -0.7463 -1.4754
-2.2174 5.4625 -1.4754
0.5717 0.7426 9.3681
Cd Pm Li
6 4 2
Direct
0.8296 0.3399 0.1695
0.1699 0.1699 0.3398
0.6601 0.1704 0.8305
0.8301 0.8301 0.6602
0.1704 0.6601 0.8305
0.3399 0.8296 0.1695
0.7535 0.7535 0.0000
0.7500 0.2500 0.5000
0.2465 0.2465 0.0000
0.2500 0.7500 0.5000
0.3334 0.3334 0.6668
0.6666 0.6666 0.3332